SrUPaSe6 PBE-GGA relaxed; formation energy without anion corrections = -1.35 eV/atom; N(E_F) = 0.087 states/eV/atom; magnetization = 1.017 μB per formula unit
1.0
7.2345 0.0000 0.0000
-3.6172 6.2652 0.0000
0.0000 0.0000 13.1408
Sr U Pa Se
2 2 2 12
Cartesian
0.0000 0.0000 0.0000
0.0000 0.0000 6.5704
0.0000 4.1768 3.2852
3.6172 2.0884 9.8556
0.0000 4.1768 9.8556
3.6172 2.0884 3.2852
-1.3183 2.3150 1.7363
-2.2715 3.9661 4.8341
1.3183 2.3150 4.8341
-0.9532 6.2494 1.7363
2.6640 0.0159 8.3066
1.3458 2.2992 11.4045
2.2715 3.9661 1.7363
0.9532 6.2494 4.8341
4.5705 0.0159 11.4045
2.2990 3.9502 8.3066
5.8887 2.2992 8.3066
4.9355 3.9502 11.4045